# Cs3TlTe3 PBE optimized geometry
# - Space-group type: No. 64
# - Crystal system: orthorhombic
# - Excess energy over the best structure of this formula in the dataset: 0 meV/atom
# - E_tot: -2.8715 eV/atom
# - Volume: 52.31 Å³/atom
data_Cs3TlTe3
_chemical_formula_sum 'Cs12 Tl4 Te12'
_symmetry_space_group_name_H-M 'P 1'
_symmetry_Int_Tables_number 1
_cell_length_a 8.072
_cell_length_b 12.359
_cell_length_c 15.533
_cell_angle_alpha 90.00
_cell_angle_beta 90.00
_cell_angle_gamma 109.06
loop_
_symmetry_equiv_pos_as_xyz
'x,y,z'
loop_
_atom_site_label
_atom_site_fract_x
_atom_site_fract_y
_atom_site_fract_z
_atom_site_occupancy
Cs1 0.672 0.000 0.846 1
Cs2 0.828 0.000 0.346 1
Cs3 0.172 0.000 0.654 1
Cs4 0.328 0.000 0.154 1
Cs5 0.998 0.646 0.372 1
Cs6 0.502 0.354 0.872 1
Cs7 0.852 0.354 0.128 1
Cs8 0.648 0.646 0.628 1
Cs9 0.002 0.354 0.628 1
Cs10 0.498 0.646 0.128 1
Cs11 0.148 0.646 0.872 1
Cs12 0.352 0.354 0.372 1
Tl1 0.413 0.826 0.500 1
Tl2 0.087 0.174 0.000 1
Tl3 0.587 0.174 0.500 1
Tl4 0.913 0.826 0.000 1
Te1 0.199 0.000 0.907 1
Te2 0.301 0.000 0.407 1
Te3 0.699 0.000 0.593 1
Te4 0.801 0.000 0.093 1
Te5 0.530 0.688 0.381 1
Te6 0.970 0.312 0.881 1
Te7 0.342 0.312 0.119 1
Te8 0.158 0.688 0.619 1
Te9 0.470 0.312 0.619 1
Te10 0.030 0.688 0.119 1
Te11 0.658 0.688 0.881 1
Te12 0.842 0.312 0.381 1